MnMo2Rh: relaxed, PBE-GGA.

Cell and atoms, written as POSCAR:
```
MnMo2Rh
1.0
1.6979 -2.1056 0.0000
1.6979 2.1056 0.0000
0.0000 0.0000 8.2625
Mn Mo Rh
1 2 1
Direct
0.0000 0.0000 0.0000
0.0000 0.0000 0.4810
0.5000 0.5000 0.7524
0.5000 0.5000 0.2324
```

Calculated values
The space group is Cmm2. As for the formation energy: 60 meV per atom. The value obtained for the density of states at the Fermi level is 4.9 states/eV/cell. The value obtained for the excess energy over the best structure of this formula in the dataset is 55 meV/atom. The calculation puts the volume at 14.77 Å³ per atom. As for the density: 9.8 g/cm³.

---

MnMo2Rh9: relaxed, PBE-GGA.

Cell and atoms, written as POSCAR:
```
MnMo2Rh9
1.0
4.7294 0.0000 0.0000
-1.5234 5.8804 0.0000
-0.0415 -2.5270 6.1726
Mn Mo Rh
1 2 9
Direct
0.0000 0.0000 0.0000
0.0906 0.7638 0.5850
0.9094 0.2362 0.4150
0.1628 0.4943 0.1702
0.2493 0.2515 0.7475
0.3281 0.0018 0.3296
0.4084 0.7530 0.9148
0.5000 0.5000 0.5000
0.5916 0.2470 0.0852
0.6719 0.9982 0.6704
0.7507 0.7485 0.2525
0.8372 0.5057 0.8298
```

Calculated values
The space group is P-1. As for the formation energy: -114 meV per atom. The value obtained for the density of states at the Fermi level is 13.3 states/eV/cell. The calculation puts the volume at 14.31 Å³ per atom. As for the density: 11.3 g/cm³.